1:
Here is an optimized crystal structure of NbTeSeBr2 from Alexandria via LeMat-Bulk. Energies are from PBE.

Calculated values
**Symmetry**: P4/mmm, No. 123

Geometry as POSCAR:
```
NbTeSeBr2
1.0
5.4914 0.0000 0.0000
0.0000 5.4914 0.0000
0.0000 0.0000 5.5675
Nb Te Se Br
1 1 1 2
direct
0.0000 0.0000 0.0000 Nb
0.5000 0.5000 0.5000 Te
0.5000 0.5000 0.0000 Se
0.0000 0.5000 0.5000 Br
0.5000 0.0000 0.5000 Br
```

---

2:
Here is an optimized crystal structure of NbTeSeBr2 from Alexandria via LeMat-Bulk. Energies are from PBE.

Calculated values
**Symmetry**: P4/mmm, No. 123

Geometry as POSCAR:
```
NbTeSeBr2
1.0
5.1909 0.0000 0.0000
0.0000 5.1909 0.0000
0.0000 0.0000 5.1156
Nb Te Se Br
1 1 1 2
direct
0.0000 0.0000 0.0000 Nb
0.5000 0.5000 0.5000 Te
0.0000 0.0000 0.5000 Se
0.0000 0.5000 0.0000 Br
0.5000 0.0000 0.0000 Br
```

---

Sorted by energy, starting with the most stable: 2, 1.

---

1:
Here is an optimized crystal structure of NbTeSe2Br from Alexandria via LeMat-Bulk. Energies are from PBE.

Calculated values
**Symmetry**: P4/mmm, No. 123

Geometry as POSCAR:
```
NbTeSe2Br
1.0
5.4367 0.0000 0.0000
0.0000 5.4367 0.0000
0.0000 0.0000 5.2690
Nb Te Se Br
1 1 2 1
direct
0.0000 0.0000 0.0000 Nb
0.5000 0.5000 0.5000 Te
0.0000 0.5000 0.5000 Se
0.5000 0.0000 0.5000 Se
0.5000 0.5000 0.0000 Br
```

---

2:
Here is an optimized crystal structure of NbTeSe2Br from Alexandria via LeMat-Bulk. Energies are from PBE.

Calculated values
**Symmetry**: P4/mmm, No. 123

Geometry as POSCAR:
```
NbTeSe2Br
1.0
5.0903 0.0000 0.0000
0.0000 5.0903 0.0000
0.0000 0.0000 5.1333
Nb Te Se Br
1 1 2 1
direct
0.0000 0.0000 0.0000 Nb
0.5000 0.5000 0.5000 Te
0.0000 0.5000 0.0000 Se
0.5000 0.0000 0.0000 Se
0.0000 0.0000 0.5000 Br
```

---

Sorted by energy, starting with the most stable: 2, 1.

---

1:
Here is an optimized crystal structure of TiNbSeBr2 from Alexandria via LeMat-Bulk. Energies are from PBE.

Calculated values
**Symmetry**: P4/mmm, No. 123

Geometry as POSCAR:
```
TiNbSeBr2
1.0
4.8755 0.0000 0.0000
0.0000 4.8755 0.0000
0.0000 0.0000 5.5904
Ti Nb Se Br
1 1 1 2
direct
0.0000 0.0000 0.0000 Ti
0.0000 0.0000 0.5000 Nb
0.5000 0.5000 0.0000 Se
0.0000 0.5000 0.5000 Br
0.5000 0.0000 0.5000 Br
```

---

2:
Here is an optimized crystal structure of TiNbSeBr2 from Alexandria via LeMat-Bulk. Energies are from PBE.

Calculated values
**Symmetry**: P4/mmm, No. 123

Geometry as POSCAR:
```
TiNbSeBr2
1.0
5.0377 0.0000 0.0000
0.0000 5.0377 0.0000
0.0000 0.0000 5.1065
Ti Nb Se Br
1 1 1 2
direct
0.0000 0.0000 0.0000 Ti
0.5000 0.5000 0.5000 Nb
0.0000 0.0000 0.5000 Se
0.0000 0.5000 0.0000 Br
0.5000 0.0000 0.0000 Br
```

---

Sorted by energy, starting with the most stable: 2, 1.